Entry A
Computed, not measured: a geometry-optimized Na2BCl5 structure at the PBE level of DFT.

Magnetic moment   0.0 Bohr magnetons per cell
N(E_F)   0.000 states/eV/atom
SG   No. 8

abc: 5.3228 5.3228 8.9392
angles: 92.92 92.92 89.46
Fractional coordinates of all 8 atoms:
Na  0.2482  0.7518  0.0000
Na  0.7518  0.2482  0.0000
B  0.9949  0.9949  0.5231
Cl  0.2580  0.2580  0.0723
Cl  0.2621  0.8589  0.6073
Cl  0.7422  0.7422  0.9303
Cl  0.8589  0.2621  0.6073
Cl  0.8644  0.8644  0.3540


Entry B
Computed, not measured: a geometry-optimized Na2BCl5 structure at the PBE level of DFT.

Magnetic moment   0.3 Bohr magnetons per cell
N(E_F)   0.000 states/eV/atom
SG   No. 58

abc: 10.3779 11.4234 8.1885
angles: 90.00 90.00 90.00
Fractional coordinates of all 32 atoms:
Na  0.0000  0.0000  0.2167
Na  0.0000  0.0000  0.7833
Na  0.1206  0.3258  0.0000
Na  0.3794  0.8258  0.5000
Na  0.5000  0.5000  0.2833
Na  0.5000  0.5000  0.7167
Na  0.6206  0.1742  0.5000
Na  0.8794  0.6742  0.0000
B  0.2456  0.2170  0.5000
B  0.2544  0.7170  0.0000
B  0.7456  0.2830  0.0000
B  0.7544  0.7830  0.5000
Cl  0.0788  0.1536  0.5000
Cl  0.1355  0.5903  0.0000
Cl  0.1440  0.1042  0.0000
Cl  0.2281  0.8069  0.1849
Cl  0.2281  0.8069  0.8151
Cl  0.2719  0.3069  0.3151
Cl  0.2719  0.3069  0.6849
Cl  0.3560  0.6042  0.5000
Cl  0.3645  0.0903  0.5000
Cl  0.4212  0.6536  0.0000
Cl  0.5788  0.3464  0.0000
Cl  0.6355  0.9097  0.5000
Cl  0.6440  0.3958  0.5000
Cl  0.7281  0.6931  0.3151
Cl  0.7281  0.6931  0.6849
Cl  0.7719  0.1931  0.1849
Cl  0.7719  0.1931  0.8151
Cl  0.8560  0.8958  0.0000
Cl  0.8645  0.4097  0.0000
Cl  0.9212  0.8464  0.5000


Least stable: entry B


Entry A
Computed, not measured: a geometry-optimized NaBCl3 structure at the PBE level of DFT.

Magnetic moment   0.0 Bohr magnetons per cell
N(E_F)   0.000 states/eV/atom
SG   No. 2

abc: 6.4019 6.5355 7.2239
angles: 92.09 114.00 118.92
Fractional coordinates of all 10 atoms:
Na  0.0816  0.2672  0.2566
Na  0.9184  0.7328  0.7434
B  0.3712  0.4539  0.8721
B  0.6288  0.5461  0.1279
Cl  0.0207  0.2286  0.8405
Cl  0.3648  0.7180  0.7787
Cl  0.4145  0.2927  0.6776
Cl  0.5855  0.7073  0.3224
Cl  0.6352  0.2820  0.2213
Cl  0.9793  0.7714  0.1595


Entry B
Computed, not measured: a geometry-optimized NaBCl3 structure at the PBE level of DFT.

Magnetic moment   1.0 Bohr magnetons per cell
N(E_F)   1.249 states/eV/atom
SG   No. 221

abc: 5.1820 5.1820 5.1820
angles: 90.00 90.00 90.00
Fractional coordinates of all 5 atoms:
Na  0.0000  0.0000  0.0000
B  0.5000  0.5000  0.5000
Cl  0.0000  0.0000  0.5000
Cl  0.0000  0.5000  0.0000
Cl  0.5000  0.0000  0.0000


Least stable: entry B


Entry A
Computed, not measured: a geometry-optimized NaBCl3 structure at the PBE level of DFT.

Magnetic moment   0.0 Bohr magnetons per cell
N(E_F)   0.170 states/eV/atom
SG   No. 221

abc: 4.5312 4.5312 4.5312
angles: 90.00 90.00 90.00
Fractional coordinates of all 5 atoms:
Na  0.0000  0.0000  0.0000
B  0.5000  0.5000  0.5000
Cl  0.0000  0.5000  0.5000
Cl  0.5000  0.0000  0.5000
Cl  0.5000  0.5000  0.0000


Entry B
Computed, not measured: a geometry-optimized NaBCl3 structure at the PBE level of DFT.

Magnetic moment   0.0 Bohr magnetons per cell
N(E_F)   0.000 states/eV/atom
SG   No. 14

abc: 6.5425 7.1626 11.3607
angles: 90.00 123.14 90.00
Fractional coordinates of all 20 atoms:
Na  0.2210  0.1114  0.2590
Na  0.2210  0.3886  0.7590
Na  0.7790  0.6114  0.2410
Na  0.7790  0.8886  0.7410
B  0.1030  0.5860  0.0503
B  0.1030  0.9140  0.5503
B  0.8970  0.0860  0.4497
B  0.8970  0.4140  0.9497
Cl  0.0585  0.2116  0.9238
Cl  0.0585  0.2884  0.4238
Cl  0.2570  0.6867  0.9636
Cl  0.2570  0.8133  0.4636
Cl  0.3504  0.0026  0.7306
Cl  0.3504  0.4974  0.2306
Cl  0.6496  0.5026  0.7694
Cl  0.6496  0.9974  0.2694
Cl  0.7430  0.1867  0.5364
Cl  0.7430  0.3133  0.0364
Cl  0.9415  0.7116  0.5762
Cl  0.9415  0.7884  0.0762


Least stable: entry A


Entry A
Computed, not measured: a geometry-optimized NaB2Cl structure at the PBE level of DFT.

Magnetic moment   0.0 Bohr magnetons per cell
N(E_F)   0.638 states/eV/atom
SG   No. 122

abc: 5.9461 5.9461 5.9461
angles: 98.66 98.66 134.33
Fractional coordinates of all 8 atoms:
Na  0.0000  0.0000  0.0000
Na  0.7500  0.2500  0.5000
B  0.1379  0.1250  0.5129
B  0.3750  0.8621  0.9871
B  0.6121  0.6250  0.4871
B  0.8750  0.3879  0.0129
Cl  0.2500  0.7500  0.5000
Cl  0.5000  0.5000  0.0000


Entry B
Computed, not measured: a geometry-optimized NaB2Cl structure at the PBE level of DFT.

Magnetic moment   0.4 Bohr magnetons per cell
N(E_F)   1.038 states/eV/atom
SG   No. 225

abc: 4.6072 4.6072 4.6072
angles: 60.00 60.00 60.00
Fractional coordinates of all 4 atoms:
Na  0.0000  0.0000  0.0000
B  0.2500  0.2500  0.2500
B  0.7500  0.7500  0.7500
Cl  0.5000  0.5000  0.5000


Least stable: entry B


Entry A
Computed, not measured: a geometry-optimized NaBP2Cl structure at the PBE level of DFT.

Magnetic moment   0.0 Bohr magnetons per cell
N(E_F)   0.204 states/eV/atom
SG   No. 123

abc: 3.8863 3.8863 8.3018
angles: 90.00 90.00 90.00
Fractional coordinates of all 5 atoms:
Na  0.0000  0.0000  0.0000
B  0.5000  0.5000  0.5000
P  0.0000  0.5000  0.5000
P  0.5000  0.0000  0.5000
Cl  0.5000  0.5000  0.0000


Entry B
Computed, not measured: a geometry-optimized NaBP2Cl structure at the PBE level of DFT.

Magnetic moment   2.5 Bohr magnetons per cell
N(E_F)   0.701 states/eV/atom
SG   No. 123

abc: 5.0849 5.0849 5.0134
angles: 90.00 90.00 90.00
Fractional coordinates of all 5 atoms:
Na  0.0000  0.0000  0.0000
B  0.5000  0.5000  0.5000
P  0.0000  0.5000  0.0000
P  0.5000  0.0000  0.0000
Cl  0.0000  0.0000  0.5000


Least stable: entry B


Entry A
Computed, not measured: a geometry-optimized NaBPCl2 structure at the PBE level of DFT.

Magnetic moment   0.4 Bohr magnetons per cell
N(E_F)   0.732 states/eV/atom
SG   No. 123

abc: 5.3686 5.3686 3.5572
angles: 90.00 90.00 90.00
Fractional coordinates of all 5 atoms:
Na  0.0000  0.0000  0.0000
B  0.5000  0.5000  0.5000
P  0.5000  0.5000  0.0000
Cl  0.0000  0.5000  0.5000
Cl  0.5000  0.0000  0.5000


Entry B
Computed, not measured: a geometry-optimized NaBPCl2 structure at the PBE level of DFT.

Magnetic moment   3.0 Bohr magnetons per cell
N(E_F)   0.333 states/eV/atom
SG   No. 123

abc: 5.1559 5.1559 5.4197
angles: 90.00 90.00 90.00
Fractional coordinates of all 5 atoms:
Na  0.0000  0.0000  0.0000
B  0.5000  0.5000  0.5000
P  0.0000  0.0000  0.5000
Cl  0.0000  0.5000  0.0000
Cl  0.5000  0.0000  0.0000


Least stable: entry B